#one
An optimized crystal structure of ZrSnIr3. Source: Alexandria via LeMat-Bulk, functional PBE.

Summary:
The calculated density is 11.026 g/cm³. The calculation puts the density of states at the Fermi level at 4.956 states/eV/cell.

Cell: 4.911 4.911 4.911 Å, 90.00 90.00 90.00°
Space group Pm-3m (No. 221)
Asymmetric unit:
1 Zr 0.000 0.000 0.000 [1 per cell]
2 Sn 0.500 0.500 0.500 [1 per cell]
3 Ir 0.000 0.000 0.500 [3 per cell]


#two
An optimized crystal structure of ZrSnIr3. Source: Alexandria via LeMat-Bulk, functional PBE.

Summary:
The calculated density is 11.860 g/cm³. The calculation puts the density of states at the Fermi level at 11.404 states/eV/cell.

Cell: 4.793 4.793 4.793 Å, 90.00 90.00 90.00°
Space group Pm-3m (No. 221)
Asymmetric unit:
1 Zr 0.000 0.000 0.000 [1 per cell]
2 Sn 0.500 0.500 0.500 [1 per cell]
3 Ir 0.000 0.500 0.500 [3 per cell]


Stability, highest: #two


#one
An optimized crystal structure of ZrSn3Ir. Source: Alexandria via LeMat-Bulk, functional PBE.

Summary:
The calculated density is 7.881 g/cm³. The calculation puts the density of states at the Fermi level at 6.487 states/eV/cell.

Cell: 5.127 5.127 5.127 Å, 90.00 90.00 90.00°
Space group Pm-3m (No. 221)
Asymmetric unit:
1 Zr 0.000 0.000 0.000 [1 per cell]
2 Sn 0.000 0.500 0.500 [3 per cell]
3 Ir 0.500 0.500 0.500 [1 per cell]


#two
An optimized crystal structure of ZrSn3Ir. Source: Alexandria via LeMat-Bulk, functional PBE.

Summary:
The calculated density is 6.585 g/cm³. The calculation puts the density of states at the Fermi level at 5.947 states/eV/cell.

Cell: 5.443 5.443 5.443 Å, 90.00 90.00 90.00°
Space group Pm-3m (No. 221)
Asymmetric unit:
1 Zr 0.000 0.000 0.000 [1 per cell]
2 Sn 0.000 0.000 0.500 [3 per cell]
3 Ir 0.500 0.500 0.500 [1 per cell]


Stability, highest: #one


#one
An optimized crystal structure of Sr5Ir. Source: Alexandria via LeMat-Bulk, functional PBE.

Summary:
The calculated density is 4.049 g/cm³. The calculation puts the density of states at the Fermi level at 14.502 states/eV/cell.

Cell: 6.112 4.318 19.587 Å, 90.00 90.00 90.00°
Space group Amm2 (No. 38)
Asymmetric unit:
1 Sr 0.000 0.000 0.000 [2 per cell]
2 Sr 0.000 0.000 0.215 [2 per cell]
3 Sr 0.500 0.000 0.126 [2 per cell]
4 Sr 0.500 0.000 0.477 [2 per cell]
5 Sr 0.500 0.000 0.808 [2 per cell]
6 Ir 0.000 0.000 0.603 [2 per cell]


#two
An optimized crystal structure of Sr5Ir. Source: Alexandria via LeMat-Bulk, functional PBE.

Summary:
The calculated density is 4.179 g/cm³. The calculation puts the density of states at the Fermi level at 5.712 states/eV/cell.

Cell: 3.866 3.866 16.752 Å, 90.00 90.00 90.00°
Space group P4/mmm (No. 123)
Asymmetric unit:
1 Sr 0.000 0.000 0.000 [1 per cell]
2 Sr 0.000 0.000 0.401 [2 per cell]
3 Sr 0.500 0.500 0.195 [2 per cell]
4 Ir 0.500 0.500 0.500 [1 per cell]


#three
An optimized crystal structure of Sr5Ir. Source: Alexandria via LeMat-Bulk, functional PBE.

Summary:
The calculated density is 4.000 g/cm³. The calculation puts the density of states at the Fermi level at 8.407 states/eV/cell.

Cell: 6.6366 6.6366 6.8602 Å, 90.00 90.00 120.00°
Space group P6/mmm (No. 191)
Asymmetric unit:
1 Sr 0.0000 0.5000 0.0000 [3 per cell]
2 Sr 0.3333 0.6667 0.5000 [2 per cell]
3 Ir 0.0000 0.0000 0.5000 [1 per cell]


Stability, highest: #two


#one
An optimized crystal structure of Sr3Ir2. Source: Alexandria via LeMat-Bulk, functional PBE.

Summary:
The calculated density is 6.967 g/cm³. The calculation puts the density of states at the Fermi level at 18.415 states/eV/cell.

Cell: 14.268 18.636 4.642 Å, 90.00 90.00 90.00°
Space group Fdd2 (No. 43)
Asymmetric unit:
1 Sr 0.000 0.000 0.000 [8 per cell]
2 Sr 0.118 0.373 0.884 [16 per cell]
3 Ir 0.022 0.262 0.378 [16 per cell]


#two
An optimized crystal structure of Sr3Ir2. Source: Alexandria via LeMat-Bulk, functional PBE.

Summary:
The calculated density is 7.536 g/cm³. The calculation puts the density of states at the Fermi level at 9.471 states/eV/cell.

Cell: 5.1202 5.1202 6.2817 Å, 90.00 90.00 120.00°
Space group P-3m1 (No. 164)
Asymmetric unit:
1 Sr 0.0000 0.0000 0.0000 [1 per cell]
2 Sr 0.3333 0.6667 0.3318 [2 per cell]
3 Ir 0.3333 0.6667 0.8369 [2 per cell]


Stability, highest: #two


#one
An optimized crystal structure of SrIr4. Source: Alexandria via LeMat-Bulk, functional PBE.

Summary:
The calculated density is 13.405 g/cm³. The calculation puts the density of states at the Fermi level at 22.877 states/eV/cell.

Cell: 5.965 5.965 5.965 Å, 90.00 90.00 90.00°
Space group Im-3m (No. 229)
Asymmetric unit:
1 Sr 0.000 0.000 0.000 [2 per cell]
2 Ir 0.250 0.250 0.250 [8 per cell]


#two
An optimized crystal structure of SrIr4. Source: Alexandria via LeMat-Bulk, functional PBE.

Summary:
The calculated density is 12.564 g/cm³. The calculation puts the density of states at the Fermi level at 8.467 states/eV/cell.

Cell: 4.837 4.837 4.837 Å, 90.00 90.00 90.00°
Space group Pm-3m (No. 221)
Asymmetric unit:
1 Sr 0.000 0.000 0.000 [1 per cell]
2 Ir 0.000 0.000 0.500 [3 per cell]
3 Ir 0.500 0.500 0.500 [1 per cell]


Stability, highest: #one


#one
An optimized crystal structure of SrTa2Ir2. Source: Alexandria via LeMat-Bulk, functional PBE.

Summary:
The calculated density is 14.531 g/cm³. The calculation puts the density of states at the Fermi level at 5.310 states/eV/cell.

Cell: 8.158 8.158 2.864 Å, 90.00 90.00 90.00°
Space group P4/mbm (No. 127)
Asymmetric unit:
1 Sr 0.000 0.000 0.000 [2 per cell]
2 Ta 0.137 0.363 0.000 [4 per cell]
3 Ir 0.153 0.653 0.500 [4 per cell]


#two
An optimized crystal structure of SrTa2Ir2. Source: Alexandria via LeMat-Bulk, functional PBE.

Summary:
The calculated density is 12.800 g/cm³. The calculation puts the density of states at the Fermi level at 6.087 states/eV/cell.

Cell: 4.491 4.491 10.729 Å, 90.00 90.00 90.00°
Space group I4/mmm (No. 139)
Asymmetric unit:
1 Sr 0.000 0.000 0.000 [2 per cell]
2 Ta 0.000 0.500 0.250 [4 per cell]
3 Ir 0.000 0.000 0.372 [4 per cell]


Stability, highest: #two


#one
An optimized crystal structure of SrTa2Ir. Source: Alexandria via LeMat-Bulk, functional PBE.

Summary:
The calculated density is 12.742 g/cm³. The calculation puts the density of states at the Fermi level at 10.402 states/eV/cell.

Cell: 4.144 4.153 9.720 Å, 90.00 90.00 90.00°
Space group Cmmm (No. 65)
Asymmetric unit:
1 Sr 0.000 0.000 0.000 [2 per cell]
2 Ta 0.000 0.500 0.307 [4 per cell]
3 Ir 0.000 0.000 0.500 [2 per cell]


#two
An optimized crystal structure of SrTa2Ir. Source: Alexandria via LeMat-Bulk, functional PBE.

Summary:
The calculated density is 11.858 g/cm³. The calculation puts the density of states at the Fermi level at 3.643 states/eV/cell.

Cell: 2.948 3.889 7.837 Å, 90.00 90.55 90.00°
Space group P2/m (No. 10)
Asymmetric unit:
1 Sr 0.000 0.000 0.000 [1 per cell]
2 Ta 0.465 0.500 0.667 [2 per cell]
3 Ir 0.000 0.000 0.500 [1 per cell]


Stability, highest: #two


#one
An optimized crystal structure of SrTa2Ir. Source: Alexandria via LeMat-Bulk, functional PBE.

Summary:
The calculated density is 13.200 g/cm³. The calculation puts the density of states at the Fermi level at 10.560 states/eV/cell.

Cell: 2.9949 2.9949 31.1797 Å, 90.00 90.00 120.00°
Space group R-3m (No. 166, hexagonal axes)
Asymmetric unit:
1 Sr 0.0000 0.0000 0.0000 [3 per cell]
2 Ta 0.0000 0.0000 0.2371 [6 per cell]
3 Ir 0.0000 0.0000 0.5000 [3 per cell]


#two
An optimized crystal structure of SrTa2Ir. Source: Alexandria via LeMat-Bulk, functional PBE.

Summary:
The calculated density is 11.292 g/cm³. The calculation puts the density of states at the Fermi level at 9.849 states/eV/cell.

Cell: 10.072 3.140 6.159 Å, 90.00 104.34 90.00°
Space group Cm (No. 8)
Asymmetric unit:
1 Sr 0.000 0.000 0.000 [2 per cell]
2 Ta 0.201 0.000 0.631 [2 per cell]
3 Ta 0.469 0.000 0.473 [2 per cell]
4 Ir 0.255 0.500 0.331 [2 per cell]


Stability, highest: #two


#one
An optimized crystal structure of SrTaIr2. Source: Alexandria via LeMat-Bulk, functional PBE.

Summary:
The calculated density is 14.528 g/cm³. The calculation puts the density of states at the Fermi level at 6.005 states/eV/cell.

Cell: 6.656 7.464 3.005 Å, 90.00 90.00 90.00°
Space group Cmmm (No. 65)
Asymmetric unit:
1 Sr 0.000 0.000 0.000 [2 per cell]
2 Ta 0.000 0.500 0.000 [2 per cell]
3 Ir 0.250 0.250 0.500 [4 per cell]


#two
An optimized crystal structure of SrTaIr2. Source: Alexandria via LeMat-Bulk, functional PBE.

Summary:
The calculated density is 14.398 g/cm³. The calculation puts the density of states at the Fermi level at 14.316 states/eV/cell.

Cell: 2.9428 2.9428 30.1257 Å, 90.00 90.00 120.00°
Space group R3m (No. 160, hexagonal axes)
Asymmetric unit:
1 Sr 0.0000 0.0000 0.0000 [3 per cell]
2 Ta 0.0000 0.0000 0.7690 [3 per cell]
3 Ir 0.0000 0.0000 0.2483 [3 per cell]
4 Ir 0.0000 0.0000 0.5071 [3 per cell]


#three
An optimized crystal structure of SrTaIr2. Source: Alexandria via LeMat-Bulk, functional PBE.

Summary:
The calculated density is 12.209 g/cm³. The calculation puts the density of states at the Fermi level at 11.122 states/eV/cell.

Cell: 7.486 7.486 6.339 Å, 90.00 90.00 90.00°
Space group I-42d (No. 122)
Asymmetric unit:
1 Sr 0.000 0.000 0.000 [4 per cell]
2 Ta 0.000 0.000 0.500 [4 per cell]
3 Ir 0.194 0.250 0.625 [8 per cell]


Stability, highest: #one


#one
An optimized crystal structure of Sr2TaIr. Source: Alexandria via LeMat-Bulk, functional PBE.

Summary:
The calculated density is 8.598 g/cm³. The calculation puts the density of states at the Fermi level at 11.667 states/eV/cell.

Cell: 7.511 7.511 7.511 Å, 90.00 90.00 90.00°
Space group Fm-3m (No. 225)
Asymmetric unit:
1 Sr 0.250 0.250 0.250 [8 per cell]
2 Ta 0.000 0.000 0.000 [4 per cell]
3 Ir 0.000 0.000 0.500 [4 per cell]


#two
An optimized crystal structure of Sr2TaIr. Source: Alexandria via LeMat-Bulk, functional PBE.

Summary:
The calculated density is 9.904 g/cm³. The calculation puts the density of states at the Fermi level at 6.914 states/eV/cell.

Cell: 4.132 4.132 10.770 Å, 90.00 90.00 90.00°
Space group I4/mmm (No. 139)
Asymmetric unit:
1 Sr 0.000 0.500 0.250 [4 per cell]
2 Ta 0.000 0.000 0.000 [2 per cell]
3 Ir 0.000 0.000 0.500 [2 per cell]


Stability, highest: #two


#one
An optimized crystal structure of Sr2TaIr. Source: Alexandria via LeMat-Bulk, functional PBE.

Summary:
The calculated density is 9.254 g/cm³. The calculation puts the density of states at the Fermi level at 15.179 states/eV/cell.

Cell: 3.2938 3.2938 31.4187 Å, 90.00 90.00 120.00°
Space group R-3m (No. 166, hexagonal axes)
Asymmetric unit:
1 Sr 0.0000 0.0000 0.2404 [6 per cell]
2 Ta 0.0000 0.0000 0.0000 [3 per cell]
3 Ir 0.0000 0.0000 0.5000 [3 per cell]


#two
An optimized crystal structure of Sr2TaIr. Source: Alexandria via LeMat-Bulk, functional PBE.

Summary:
The calculated density is 9.629 g/cm³. The calculation puts the density of states at the Fermi level at 4.520 states/eV/cell.

Cell: 3.204 5.095 5.793 Å, 90.00 90.00 90.00°
Space group Pmmm (No. 47)
Asymmetric unit:
1 Sr 0.000 0.000 0.242 [2 per cell]
2 Ta 0.500 0.500 0.500 [1 per cell]
3 Ir 0.500 0.500 0.000 [1 per cell]


#three
An optimized crystal structure of Sr2TaIr. Source: Alexandria via LeMat-Bulk, functional PBE.

Summary:
The calculated density is 7.550 g/cm³. The calculation puts the density of states at the Fermi level at 3.668 states/eV/cell.

Cell: 3.551 3.551 9.567 Å, 90.00 90.14 90.00°
Space group Pm (No. 6)
Asymmetric unit:
1 Sr 0.000 0.000 0.000 [1 per cell]
2 Sr 0.499 0.500 0.391 [1 per cell]
3 Ta 0.000 0.000 0.662 [1 per cell]
4 Ir 0.500 0.500 0.743 [1 per cell]


Stability, highest: #three


#one
An optimized crystal structure of Sr2TaIr. Source: Alexandria via LeMat-Bulk, functional PBE.

Summary:
The calculated density is 9.645 g/cm³. The calculation puts the density of states at the Fermi level at 4.010 states/eV/cell.

Cell: 3.211 5.117 5.784 Å, 90.00 96.51 90.00°
Space group P2/m (No. 10)
Asymmetric unit:
1 Sr 0.061 0.000 0.259 [2 per cell]
2 Ta 0.500 0.500 0.000 [1 per cell]
3 Ir 0.500 0.500 0.500 [1 per cell]


#two
An optimized crystal structure of Sr2TaIr. Source: Alexandria via LeMat-Bulk, functional PBE.

Summary:
The calculated density is 9.731 g/cm³. The calculation puts the density of states at the Fermi level at 13.155 states/eV/cell.

Cell: 7.207 7.207 7.207 Å, 90.00 90.00 90.00°
Space group F-43m (No. 216)
Asymmetric unit:
1 Sr 0.000 0.000 0.000 [4 per cell]
2 Sr 0.250 0.250 0.250 [4 per cell]
3 Ta 0.250 0.250 0.750 [4 per cell]
4 Ir 0.000 0.000 0.500 [4 per cell]


#three
An optimized crystal structure of Sr2TaIr. Source: Alexandria via LeMat-Bulk, functional PBE.

Summary:
The calculated density is 9.095 g/cm³. The calculation puts the density of states at the Fermi level at 4.703 states/eV/cell.

Cell: 3.187 3.187 9.860 Å, 90.00 90.00 90.00°
Space group P4/mmm (No. 123)
Asymmetric unit:
1 Sr 0.000 0.000 0.211 [2 per cell]
2 Ta 0.500 0.500 0.500 [1 per cell]
3 Ir 0.500 0.500 0.000 [1 per cell]


#four
An optimized crystal structure of Sr2TaIr. Source: Alexandria via LeMat-Bulk, functional PBE.

Summary:
The calculated density is 7.185 g/cm³. The calculation puts the density of states at the Fermi level at 10.304 states/eV/cell.

Cell: 18.757 3.510 3.937 Å, 90.00 102.06 90.00°
Space group C2/m (No. 12)
Asymmetric unit:
1 Sr 0.150 0.000 0.149 [4 per cell]
2 Ta 0.000 0.000 0.500 [2 per cell]
3 Ir 0.000 0.500 0.000 [2 per cell]


Stability, highest: #four